Record 1
Density functional theory data (PBE) for MgTePN2 after structural relaxation.

Properties
DFT total energy: -19.44 eV per formula unit
energy above the most stable polymorph in this dataset: 647 meV per atom
uncorrected formation energy: 1471.2 meV/atom
DOS at the Fermi energy: 2.53 states/eV per cell

Geometry as POSCAR:
```
MgTePN2
1.0
4.106 0.000 0.000
0.000 4.106 0.000
0.000 0.000 6.163
Mg Te P N
1 1 1 2
direct
0.000 0.000 0.000
0.000 0.000 0.500
0.500 0.500 0.500
0.000 0.500 0.000
0.500 0.000 0.000
```


Record 2
Density functional theory data (PBE) for MgTiP2N after structural relaxation.

Properties
DFT total energy: -27.95 eV per formula unit
uncorrected formation energy: 137.7 meV/atom
DOS at the Fermi energy: 4.94 states/eV per cell

Geometry as POSCAR:
```
MgTiP2N
1.0
4.846 0.000 0.000
0.000 4.846 0.000
0.000 0.000 3.820
Mg Ti P N
1 1 2 1
direct
0.000 0.000 0.000
0.500 0.500 0.500
0.000 0.500 0.500
0.500 0.000 0.500
0.500 0.500 0.000
```


Record 3
Density functional theory data (PBE) for MgUPN4 after structural relaxation.

Properties
DFT total energy: -56.22 eV per formula unit
uncorrected formation energy: -661.3 meV/atom
DOS at the Fermi energy: 3.25 states/eV per cell

Geometry as POSCAR:
```
MgUPN4
1.0
-3.075 3.168 4.191
3.075 -3.168 4.191
3.075 3.168 -4.191
Mg U P N
2 2 2 8
direct
0.500 0.000 0.000
0.500 0.500 0.500
0.000 0.000 0.000
0.500 0.000 0.500
0.123 0.373 0.750
0.877 0.627 0.250
0.217 0.749 0.468
0.219 0.251 0.968
0.238 0.266 0.528
0.238 0.710 0.972
0.762 0.290 0.028
0.762 0.734 0.472
0.781 0.749 0.032
0.783 0.251 0.532
```


Record 4
Density functional theory data (PBE) for MgVP2N6 after structural relaxation.

Properties
DFT total energy: -75.44 eV per formula unit
uncorrected formation energy: -395.6 meV/atom
DOS at the Fermi energy: 2.31 states/eV per cell

Geometry as POSCAR:
```
MgVP2N6
1.0
4.880 -4.910 0.000
4.880 4.910 0.000
-2.246 0.000 4.868
Mg V P N
2 2 4 12
direct
0.115 0.885 0.750
0.885 0.115 0.250
0.196 0.804 0.250
0.804 0.196 0.750
0.238 0.393 0.824
0.393 0.238 0.324
0.607 0.762 0.676
0.762 0.607 0.176
0.047 0.213 0.681
0.172 0.623 0.926
0.213 0.047 0.181
0.339 0.390 0.586
0.377 0.828 0.574
0.390 0.339 0.086
0.610 0.661 0.914
0.623 0.172 0.426
0.661 0.610 0.414
0.787 0.953 0.819
0.828 0.377 0.074
0.953 0.787 0.319
```


Record 5
Density functional theory data (PBE) for MgP2WN6 after structural relaxation.

Properties
DFT total energy: -79.79 eV per formula unit
uncorrected formation energy: -447.2 meV/atom

Geometry as POSCAR:
```
MgP2WN6
1.0
4.680 -4.591 0.000
4.680 4.591 0.000
-0.933 0.000 4.849
Mg P W N
2 4 2 12
direct
0.093 0.907 0.750
0.907 0.093 0.250
0.225 0.386 0.705
0.386 0.225 0.205
0.614 0.775 0.795
0.775 0.614 0.295
0.256 0.744 0.250
0.744 0.256 0.750
0.024 0.230 0.648
0.175 0.601 0.888
0.230 0.024 0.148
0.282 0.422 0.392
0.399 0.825 0.612
0.422 0.282 0.892
0.578 0.718 0.108
0.601 0.175 0.388
0.718 0.578 0.608
0.770 0.976 0.852
0.825 0.399 0.112
0.976 0.770 0.352
```


Record 6
Density functional theory data (PBE) for Mg2ZnPN4 after structural relaxation.

Properties
DFT total energy: -47.59 eV per formula unit
uncorrected formation energy: -552.4 meV/atom
DOS at the Fermi energy: 8.97 states/eV per cell

Geometry as POSCAR:
```
Mg2ZnPN4
1.0
6.378 0.000 0.000
0.000 5.645 0.000
0.000 0.000 5.154
Mg Zn P N
4 2 2 8
direct
0.246 0.176 0.000
0.254 0.824 0.500
0.746 0.824 0.500
0.754 0.176 0.000
0.000 0.347 0.501
0.500 0.653 0.001
0.000 0.673 0.006
0.500 0.327 0.506
0.000 0.397 0.897
0.000 0.669 0.324
0.213 0.818 0.907
0.287 0.182 0.407
0.500 0.331 0.824
0.500 0.603 0.397
0.713 0.182 0.407
0.787 0.818 0.907
```


Record 7
Density functional theory data (PBE) for Mg4Pa3N8 after structural relaxation.

Properties
DFT total energy: -115.98 eV per formula unit
uncorrected formation energy: -967.5 meV/atom
DOS at the Fermi energy: 10.63 states/eV per cell

Geometry as POSCAR:
```
Mg4Pa3N8
1.0
3.425 1.977 5.507
-3.425 1.977 5.507
0.000 -3.955 5.507
Mg Pa N
4 3 8
direct
0.000 0.000 0.000
0.149 0.149 0.149
0.500 0.500 0.500
0.851 0.851 0.851
0.000 0.500 0.500
0.500 0.000 0.500
0.500 0.500 0.000
0.243 0.243 0.735
0.243 0.735 0.243
0.265 0.757 0.757
0.270 0.270 0.270
0.730 0.730 0.730
0.735 0.243 0.243
0.757 0.265 0.757
0.757 0.757 0.265
```


Record 8
Density functional theory data (PBE) for Mg3PaN4 after structural relaxation.

Properties
DFT total energy: -55.33 eV per formula unit
uncorrected formation energy: -969.1 meV/atom
DOS at the Fermi energy: 4.14 states/eV per cell

Geometry as POSCAR:
```
Mg3PaN4
1.0
3.230 -4.436 0.000
3.230 4.436 0.000
0.000 0.000 3.376
Mg Pa N
3 1 4
direct
0.000 0.000 0.000
0.000 0.500 0.500
0.500 0.000 0.500
0.500 0.500 0.000
0.250 0.250 0.500
0.259 0.741 0.000
0.741 0.259 0.000
0.750 0.750 0.500
```


Record 9
Density functional theory data (PBE) for MgPa3N after structural relaxation.

Properties
DFT total energy: -40.58 eV per formula unit
uncorrected formation energy: -434.6 meV/atom
DOS at the Fermi energy: 7.47 states/eV per cell

Geometry as POSCAR:
```
MgPa3N
1.0
4.767 0.000 0.000
0.000 4.767 0.000
0.000 0.000 4.767
Mg Pa N
1 3 1
direct
0.000 0.000 0.000
0.000 0.500 0.500
0.500 0.000 0.500
0.500 0.500 0.000
0.500 0.500 0.500
```


Record 10
Density functional theory data (PBE) for MgPaN2 after structural relaxation.

Properties
DFT total energy: -32.36 eV per formula unit
uncorrected formation energy: -1154.9 meV/atom
DOS at the Fermi energy: 3.22 states/eV per cell

Geometry as POSCAR:
```
MgPaN2
1.0
1.714 0.989 5.329
-1.714 0.989 5.329
0.000 -1.979 5.329
Mg Pa N
1 1 2
direct
0.000 0.000 0.000
0.500 0.500 0.500
0.250 0.250 0.250
0.750 0.750 0.750
```


Record 11
Density functional theory data (PBE) for MgPaN2 after structural relaxation.

Properties
DFT total energy: -31.57 eV per formula unit
uncorrected formation energy: -957.2 meV/atom
DOS at the Fermi energy: 3.24 states/eV per cell

Geometry as POSCAR:
```
MgPaN2
1.0
1.702 0.983 5.717
-1.702 0.983 5.717
0.000 -1.965 5.717
Mg Pa N
1 1 2
direct
0.000 0.000 0.000
0.821 0.821 0.821
0.229 0.229 0.229
0.405 0.405 0.405
```


Record 12
Density functional theory data (PBE) for MgPa5N8 after structural relaxation.

Properties
DFT total energy: -134.75 eV per formula unit
uncorrected formation energy: -1362.6 meV/atom
DOS at the Fermi energy: 9.74 states/eV per cell

Geometry as POSCAR:
```
MgPa5N8
1.0
-3.665 3.665 3.582
3.665 -3.665 3.582
3.665 3.665 -3.582
Mg Pa N
1 5 8
direct
0.000 0.000 0.000
0.211 0.118 0.600
0.389 0.789 0.907
0.518 0.611 0.400
0.750 0.250 0.500
0.882 0.482 0.093
0.010 0.756 0.647
0.109 0.364 0.353
0.140 0.405 0.877
0.244 0.891 0.254
0.528 0.263 0.123
0.595 0.472 0.735
0.636 0.990 0.746
0.737 0.860 0.265
```


Record 13
Density functional theory data (PBE) for MgPaN after structural relaxation.

Properties
DFT total energy: -22.12 eV per formula unit
uncorrected formation energy: -900.3 meV/atom
DOS at the Fermi energy: 5.01 states/eV per cell

Geometry as POSCAR:
```
MgPaN
1.0
3.452 0.000 0.000
0.000 3.452 0.000
0.000 0.000 8.811
Mg Pa N
2 2 2
direct
0.250 0.250 0.099
0.750 0.750 0.901
0.250 0.250 0.640
0.750 0.750 0.360
0.250 0.250 0.356
0.750 0.750 0.644
```


Record 14
Density functional theory data (PBE) for Mg5Pa3N12 after structural relaxation.

Properties
DFT total energy: -144.05 eV per formula unit
uncorrected formation energy: -384.1 meV/atom
DOS at the Fermi energy: 21.52 states/eV per cell

Geometry as POSCAR:
```
Mg5Pa3N12
1.0
-6.695 6.695 6.695
6.695 -6.695 6.695
6.695 6.695 -6.695
Mg Pa N
20 12 48
direct
0.000 0.000 0.000
0.000 0.000 0.500
0.000 0.500 0.000
0.000 0.500 0.500
0.125 0.750 0.875
0.125 0.875 0.250
0.250 0.125 0.875
0.250 0.625 0.375
0.375 0.250 0.625
0.375 0.625 0.750
0.500 0.000 0.000
0.500 0.000 0.500
0.500 0.500 0.000
0.500 0.500 0.500
0.625 0.375 0.250
0.625 0.750 0.375
0.750 0.375 0.625
0.750 0.875 0.125
0.875 0.125 0.750
0.875 0.250 0.125
0.125 0.250 0.375
0.125 0.375 0.750
0.250 0.375 0.125
0.250 0.875 0.625
0.375 0.125 0.250
0.375 0.750 0.125
0.625 0.250 0.875
0.625 0.875 0.750
0.750 0.125 0.375
0.750 0.625 0.875
0.875 0.625 0.250
0.875 0.750 0.625
0.081 0.290 0.179
0.081 0.290 0.902
0.098 0.679 0.389
0.098 0.919 0.710
0.111 0.790 0.710
0.111 0.821 0.402
0.179 0.081 0.290
0.179 0.598 0.889
0.210 0.290 0.611
0.210 0.290 0.889
0.210 0.419 0.321
0.210 0.419 0.598
0.290 0.179 0.081
0.290 0.611 0.210
0.290 0.889 0.210
0.290 0.902 0.081
0.321 0.210 0.419
0.321 0.611 0.902
0.389 0.098 0.679
0.389 0.790 0.710
0.402 0.111 0.821
0.402 0.790 0.581
0.419 0.321 0.210
0.419 0.598 0.210
0.581 0.402 0.790
0.581 0.679 0.790
0.598 0.210 0.419
0.598 0.889 0.179
0.611 0.210 0.290
0.611 0.902 0.321
0.679 0.389 0.098
0.679 0.790 0.581
0.710 0.098 0.919
0.710 0.111 0.790
0.710 0.389 0.790
0.710 0.821 0.919
0.790 0.581 0.402
0.790 0.581 0.679
0.790 0.710 0.111
0.790 0.710 0.389
0.821 0.402 0.111
0.821 0.919 0.710
0.889 0.179 0.598
0.889 0.210 0.290
0.902 0.081 0.290
0.902 0.321 0.611
0.919 0.710 0.098
0.919 0.710 0.821
```


Record 15
Density functional theory data (PBE) for MgPa2N after structural relaxation.

Properties
DFT total energy: -30.69 eV per formula unit
uncorrected formation energy: -445.6 meV/atom
DOS at the Fermi energy: 5.80 states/eV per cell

Geometry as POSCAR:
```
MgPa2N
1.0
1.607 0.928 9.768
-1.607 0.928 9.768
0.000 -1.856 9.768
Mg Pa N
1 2 1
direct
0.000 0.000 0.000
0.115 0.115 0.115
0.885 0.885 0.885
0.500 0.500 0.500
```


Record 16
Density functional theory data (PBE) for MgPaPb2N after structural relaxation.

Properties
DFT total energy: -29.62 eV per formula unit
uncorrected formation energy: -557.8 meV/atom
DOS at the Fermi energy: 6.66 states/eV per cell

Geometry as POSCAR:
```
MgPaPb2N
1.0
3.880 0.000 0.000
0.000 3.880 0.000
0.000 0.000 17.738
Mg Pa Pb N
2 2 4 2
direct
0.250 0.250 0.149
0.750 0.750 0.851
0.250 0.250 0.566
0.750 0.750 0.434
0.250 0.250 0.313
0.250 0.250 0.943
0.750 0.750 0.057
0.750 0.750 0.687
0.250 0.750 0.500
0.750 0.250 0.500
```


Record 17
Density functional theory data (PBE) for Mg4Pa3PdN8 after structural relaxation.

Properties
DFT total energy: -122.70 eV per formula unit
uncorrected formation energy: -1002.4 meV/atom
DOS at the Fermi energy: 3.65 states/eV per cell

Geometry as POSCAR:
```
Mg4Pa3PdN8
1.0
5.927 -3.238 0.000
5.927 3.238 0.000
-3.032 0.000 5.602
Mg Pa Pd N
4 3 1 8
direct
0.000 0.000 0.000
0.000 0.500 0.500
0.500 0.000 0.500
0.500 0.500 0.000
0.000 0.000 0.500
0.000 0.500 0.000
0.500 0.000 0.000
0.500 0.500 0.500
0.216 0.216 0.216
0.218 0.724 0.223
0.231 0.231 0.720
0.276 0.782 0.777
0.724 0.218 0.223
0.769 0.769 0.280
0.782 0.276 0.777
0.784 0.784 0.784
```


Record 18
Density functional theory data (PBE) for Pm3MgPa3N8 after structural relaxation.

Properties
DFT total energy: -130.69 eV per formula unit
uncorrected formation energy: -1316.9 meV/atom
DOS at the Fermi energy: 5.45 states/eV per cell

Geometry as POSCAR:
```
Pm3MgPa3N8
1.0
3.476 2.007 5.752
-3.476 2.007 5.752
0.000 -4.014 5.752
Pm Mg Pa N
3 1 3 8
direct
0.000 0.500 0.500
0.500 0.000 0.500
0.500 0.500 0.000
0.500 0.500 0.500
0.000 0.000 0.500
0.000 0.500 0.000
0.500 0.000 0.000
0.234 0.736 0.736
0.244 0.244 0.244
0.264 0.264 0.766
0.264 0.766 0.264
0.736 0.234 0.736
0.736 0.736 0.234
0.756 0.756 0.756
0.766 0.264 0.264
```